BaFeNF2 (meta-GGA SCAN, single point on PBEsol structure); V = 123 Å³/cell; energy relative to the elements, uncorrected = -0.4539 eV/atom; E = -15.26 eV per atom
1.0
4.8110 0.0000 0.0000
0.0000 4.8110 0.0000
0.0000 0.0000 5.3137
Ba Fe N F
1 1 1 2
direct
0.0000 0.0000 0.0000
0.5000 0.5000 0.5000
0.0000 0.0000 0.5000
0.0000 0.5000 0.0000
0.5000 0.0000 0.0000

---

NaSbCO2F3 (meta-GGA SCAN, single point on PBEsol structure); V = 440 Å³/cell; energy relative to the elements, uncorrected = -2.0688 eV/atom; E = -11.40 eV per atom
1.0
8.6391 -3.1345 0.0000
8.6391 3.1345 0.0000
-1.1127 0.0000 8.1286
Na Sb C O F
4 4 4 8 12
direct
0.0998 0.3204 0.3194
0.3204 0.0998 0.8194
0.6796 0.9002 0.1806
0.9002 0.6796 0.6806
0.2832 0.5105 0.1080
0.4895 0.7168 0.3920
0.5105 0.2832 0.6080
0.7168 0.4895 0.8920
0.0416 0.8943 0.5276
0.1057 0.9584 0.9724
0.8943 0.0416 0.0276
0.9584 0.1057 0.4724
0.0701 0.0968 0.8978
0.0968 0.0701 0.3978
0.2412 0.7023 0.4942
0.2977 0.7588 0.0058
0.7023 0.2412 0.9942
0.7588 0.2977 0.5058
0.9032 0.9299 0.6022
0.9299 0.9032 0.1022
0.0455 0.5630 0.1847
0.1842 0.5553 0.8728
0.2108 0.4096 0.5388
0.4096 0.2108 0.0388
0.4370 0.9545 0.3153
0.4447 0.8158 0.6272
0.5553 0.1842 0.3728
0.5630 0.0455 0.6847
0.5904 0.7892 0.9612
0.7892 0.5904 0.4612
0.8158 0.4447 0.1272
0.9545 0.4370 0.8153

---

Zr6Co16Si7 (meta-GGA SCAN, single point on PBEsol structure); V = 356 Å³/cell; energy relative to the elements, uncorrected = -0.5941 eV/atom; E = -18.91 eV per atom
1.0
0.0000 5.6269 5.6269
5.6269 0.0000 5.6269
5.6269 5.6269 0.0000
Zr Co Si
6 16 7
direct
0.2064 0.2064 0.7936
0.2064 0.7936 0.2064
0.2064 0.7936 0.7936
0.7936 0.2064 0.2064
0.7936 0.2064 0.7936
0.7936 0.7936 0.2064
0.1389 0.6204 0.6204
0.1712 0.1712 0.1712
0.1712 0.1712 0.4863
0.1712 0.4863 0.1712
0.3796 0.3796 0.3796
0.3796 0.3796 0.8611
0.3796 0.8611 0.3796
0.4863 0.1712 0.1712
0.5137 0.8288 0.8288
0.6204 0.1389 0.6204
0.6204 0.6204 0.1389
0.6204 0.6204 0.6204
0.8288 0.5137 0.8288
0.8288 0.8288 0.5137
0.8288 0.8288 0.8288
0.8611 0.3796 0.3796
0.0000 0.0000 0.5000
0.0000 0.5000 0.0000
0.0000 0.5000 0.5000
0.5000 0.0000 0.0000
0.5000 0.0000 0.5000
0.5000 0.5000 0.0000
0.5000 0.5000 0.5000

---

Tl2FeRh (meta-GGA SCAN, single point on PBEsol structure); energy relative to the elements = 207 meV per atom; V = 76 Å³/cell; distance to the lowest polymorph of the same formula = 0.000 eV/atom; E = -48.95 eV per atom
1.0
3.0750 0.0000 0.0000
0.0000 3.0750 0.0000
0.0000 0.0000 7.9864
Tl Fe Rh
2 1 1
direct
0.0000 0.0000 0.0000
0.5000 0.5000 0.3511
0.0000 0.0000 0.5922
0.5000 0.5000 0.7509